[1]
Density functional theory data (PBE) for an optimized crystal structure of Hf2CdMo.

Lattice parameters (Å, degrees): 10.4111 10.4111 10.4111 157.11 157.11 32.59
Sites, in units of the cell vectors:
1 Hf 0.1130 0.6250 0.9880
2 Hf 0.3750 0.3630 0.4880
3 Hf 0.6370 0.1250 0.0120
4 Hf 0.8750 0.8870 0.5120
5 Cd 0.2500 0.7500 0.5000
6 Cd 0.5000 0.5000 0.0000
7 Mo 0.0000 0.0000 0.0000
8 Mo 0.7500 0.2500 0.5000

Output
total magnetization	0.000	Bohr magnetons per cell
SG	I-42d (122)
formation energy from the elements	68.0	kJ per mole of atoms



[2]
Density functional theory data (PBE) for an optimized crystal structure of PaNiRuAu.

Lattice parameters (Å, degrees): 3.7730 4.0441 4.4586 90.00 90.00 90.00
Sites, in units of the cell vectors:
1 Pa 0.0000 0.0000 0.0000
2 Ni 0.5000 0.0000 0.5000
3 Ru 0.5000 0.5000 0.0000
4 Au 0.0000 0.5000 0.5000

Output
total magnetization	0.000	Bohr magnetons per cell
SG	Pmmm (47)
formation energy from the elements	-46.7	kJ per mole of atoms
excess energy over the best structure of this formula in the dataset	0	meV per atom